Below is crystalline ZnHgC2 at its relaxed geometry, with properties calculated at the PBE-GGA level.

abc: 4.9700 4.9700 5.9997
angles: 65.53 65.53 90.00
Fractional positions:
Zn1 0.5000 0.5000 0.0000
Zn2 0.2500 0.7500 0.5000
Hg1 0.0000 0.0000 0.0000
Hg2 0.7500 0.2500 0.5000
C1 0.8750 0.8352 0.7500
C2 0.3750 0.4148 0.7500
C3 0.5852 0.1250 0.2500
C4 0.1648 0.6250 0.2500

Results
DFT total energy = -3.0333 eV/atom
V = 120 Å³/cell
Energy above the lowest structure with this stoichiometry = 0.0 meV per atom
Energy of formation = 1.97 eV per atom